The following is a DFT calculation (GGA-PBE) of a relaxed structure of CeSeCl3.

Structure (POSCAR):
```
CeSeCl3
1.0
6.843 0.000 0.000
0.000 7.447 0.000
-2.595 0.000 13.717
Ce Se Cl
4 4 12
direct
0.093 0.138 0.134
0.093 0.862 0.634
0.907 0.138 0.366
0.907 0.862 0.866
0.157 0.412 0.299
0.157 0.588 0.799
0.843 0.412 0.201
0.843 0.588 0.701
0.166 0.173 0.540
0.166 0.827 0.040
0.236 0.038 0.803
0.236 0.962 0.303
0.359 0.315 0.072
0.359 0.685 0.572
0.641 0.315 0.428
0.641 0.685 0.928
0.764 0.038 0.697
0.764 0.962 0.197
0.834 0.173 0.960
0.834 0.827 0.460
```

## Properties
For the uncorrected formation energy, the calculation gives -1.6685 eV per atom. The value obtained for the total moment is 0.12 μB per formula unit. The value obtained for the energy is -93.2 eV/cell. As for the symmetry: P2/c, No. 13.